No. 1
Here is a relaxed structure of Pm2Zn5Cu5 from OQMD via LeMat-Bulk. Energies are from GGA-PBE.

a = 4.081 Å, b = 5.238 Å, c = 9.175 Å
α = 90.00°, β = 90.00°, γ = 90.00°
Fractional positions:
Pm 0.000 0.000 0.000
Pm 0.000 0.500 0.500
Zn 0.000 0.000 0.326
Zn 0.000 0.000 0.674
Zn 0.000 0.500 0.167
Zn 0.000 0.500 0.833
Zn 0.500 0.000 0.500
Cu 0.500 0.252 0.248
Cu 0.500 0.252 0.752
Cu 0.500 0.500 0.000
Cu 0.500 0.748 0.248
Cu 0.500 0.748 0.752

## Properties
**Total moment**: 0.01 μB per formula unit
**Symmetry**: Pmmm, No. 47
**E_form**: -249 meV per atom

No. 2
Here is a relaxed structure of ScUHg from OQMD via LeMat-Bulk. Energies are from GGA-PBE.

a = 6.997 Å, b = 6.997 Å, c = 6.997 Å
α = 90.00°, β = 90.00°, γ = 90.00°
Fractional positions:
Sc 0.000 0.000 0.000
Sc 0.000 0.500 0.500
Sc 0.500 0.000 0.500
Sc 0.500 0.500 0.000
U 0.000 0.000 0.500
U 0.000 0.500 0.000
U 0.500 0.000 0.000
U 0.500 0.500 0.500
Hg 0.250 0.250 0.250
Hg 0.250 0.750 0.750
Hg 0.750 0.250 0.750
Hg 0.750 0.750 0.250

## Properties
**Total moment**: 3.87 μB per formula unit
**Symmetry**: F-43m, No. 216
**E_form**: 622 meV per atom

No. 3
Here is a relaxed structure of ScFeCoSb from OQMD via LeMat-Bulk. Energies are from GGA-PBE.

a = 6.332 Å, b = 6.332 Å, c = 6.332 Å
α = 90.00°, β = 90.00°, γ = 90.00°
Fractional positions:
Sc 0.000 0.000 0.000
Sc 0.000 0.500 0.500
Sc 0.500 0.000 0.500
Sc 0.500 0.500 0.000
Fe 0.250 0.250 0.750
Fe 0.250 0.750 0.250
Fe 0.750 0.250 0.250
Fe 0.750 0.750 0.750
Co 0.000 0.000 0.500
Co 0.000 0.500 0.000
Co 0.500 0.000 0.000
Co 0.500 0.500 0.500
Sb 0.250 0.250 0.250
Sb 0.250 0.750 0.750
Sb 0.750 0.250 0.750
Sb 0.750 0.750 0.250

## Properties
**Total moment**: 3.46 μB per formula unit
**Symmetry**: F-43m, No. 216

No. 4
Here is a relaxed structure of ReGeAu from OQMD via LeMat-Bulk. Energies are from GGA-PBE.

a = 5.952 Å, b = 5.952 Å, c = 5.952 Å
α = 90.00°, β = 90.00°, γ = 90.00°
Fractional positions:
Re 0.000 0.000 0.000
Re 0.000 0.500 0.500
Re 0.500 0.000 0.500
Re 0.500 0.500 0.000
Ge 0.250 0.250 0.750
Ge 0.250 0.750 0.250
Ge 0.750 0.250 0.250
Ge 0.750 0.750 0.750
Au 0.000 0.000 0.500
Au 0.000 0.500 0.000
Au 0.500 0.000 0.000
Au 0.500 0.500 0.500

## Properties
**Total moment**: 0.00 μB per formula unit
**Symmetry**: F-43m, No. 216

No. 5
Here is a relaxed structure of Cs2ZrTe4H2 from OQMD via LeMat-Bulk. Energies are from GGA-PBE.

a = 8.436 Å, b = 8.436 Å, c = 6.168 Å
α = 90.00°, β = 90.00°, γ = 137.04°
Fractional positions:
Cs 0.000 0.500 0.249
Cs 0.500 0.000 0.751
Zr 0.000 0.000 0.500
Te 0.171 0.357 0.761
Te 0.357 0.171 0.239
Te 0.643 0.829 0.239
Te 0.829 0.643 0.761
H 0.000 0.000 0.000
H 0.500 0.500 0.500

## Properties
**Total moment**: 0.01 μB per formula unit
**Symmetry**: C222, No. 21

No. 6
Here is a relaxed structure of CoCuSbMo from OQMD via LeMat-Bulk. Energies are from GGA-PBE.

a = 6.226 Å, b = 6.226 Å, c = 6.226 Å
α = 90.00°, β = 90.00°, γ = 90.00°
Fractional positions:
Co 0.000 0.000 0.000
Co 0.000 0.500 0.500
Co 0.500 0.000 0.500
Co 0.500 0.500 0.000
Cu 0.250 0.250 0.750
Cu 0.250 0.750 0.250
Cu 0.750 0.250 0.250
Cu 0.750 0.750 0.750
Sb 0.000 0.000 0.500
Sb 0.000 0.500 0.000
Sb 0.500 0.000 0.000
Sb 0.500 0.500 0.500
Mo 0.250 0.250 0.250
Mo 0.250 0.750 0.750
Mo 0.750 0.250 0.750
Mo 0.750 0.750 0.250

## Properties
**Total moment**: 1.83 μB per formula unit
**Symmetry**: F-43m, No. 216

No. 7
Here is a relaxed structure of HfNbSi4Au2 from OQMD via LeMat-Bulk. Energies are from GGA-PBE.

a = 3.774 Å, b = 3.774 Å, c = 9.318 Å
α = 90.00°, β = 90.00°, γ = 90.00°
Fractional positions:
Hf 0.000 0.000 0.000
Nb 0.500 0.500 0.568
Si 0.000 0.000 0.494
Si 0.000 0.500 0.778
Si 0.500 0.000 0.778
Si 0.500 0.500 0.073
Au 0.000 0.500 0.284
Au 0.500 0.000 0.284

## Properties
**Total moment**: 0.02 μB per formula unit
**Symmetry**: P4mm, No. 99

No. 8
Here is a relaxed structure of TbSmCd from OQMD via LeMat-Bulk. Energies are from GGA-PBE.

a = 7.244 Å, b = 7.244 Å, c = 7.244 Å
α = 90.00°, β = 90.00°, γ = 90.00°
Fractional positions:
Tb 0.000 0.000 0.000
Tb 0.000 0.500 0.500
Tb 0.500 0.000 0.500
Tb 0.500 0.500 0.000
Sm 0.250 0.250 0.750
Sm 0.250 0.750 0.250
Sm 0.750 0.250 0.250
Sm 0.750 0.750 0.750
Cd 0.000 0.000 0.500
Cd 0.000 0.500 0.000
Cd 0.500 0.000 0.000
Cd 0.500 0.500 0.500

## Properties
**Total moment**: 0.01 μB per formula unit
**Symmetry**: F-43m, No. 216
**E_form**: 487 meV per atom

No. 9
Here is a relaxed structure of RbTbNiS3 from OQMD via LeMat-Bulk. Energies are from GGA-PBE.

a = 7.639 Å, b = 7.639 Å, c = 10.434 Å
α = 90.00°, β = 90.00°, γ = 150.09°
Fractional positions:
Rb 0.244 0.756 0.750
Rb 0.756 0.244 0.250
Tb 0.500 0.500 0.000
Tb 0.500 0.500 0.500
Ni 0.032 0.968 0.250
Ni 0.968 0.032 0.750
S 0.119 0.881 0.071
S 0.119 0.881 0.429
S 0.449 0.551 0.250
S 0.551 0.449 0.750
S 0.881 0.119 0.571
S 0.881 0.119 0.929

## Properties
**Total moment**: 1.93 μB per formula unit
**Symmetry**: Cmcm, No. 63

No. 10
Here is a relaxed structure of Dy2Fe2BrCl from OQMD via LeMat-Bulk. Energies are from GGA-PBE.

a = 3.830 Å, b = 3.830 Å, c = 11.183 Å
α = 90.00°, β = 90.00°, γ = 120.00°
Fractional positions:
Dy 0.000 0.000 0.000
Dy 0.000 0.000 0.356
Fe 0.333 0.667 0.186
Fe 0.667 0.333 0.170
Br 0.667 0.333 0.528
Cl 0.333 0.667 0.845

## Properties
**Total moment**: 1.60 μB per formula unit
**Symmetry**: P3m1, No. 156

No. 11
Here is a relaxed structure of NdAuO3 from OQMD via LeMat-Bulk. Energies are from GGA-PBE.

a = 5.557 Å, b = 5.557 Å, c = 5.557 Å
α = 65.05°, β = 65.05°, γ = 65.05°
Fractional positions:
Nd 0.250 0.250 0.250
Nd 0.750 0.750 0.750
Au 0.000 0.000 0.000
Au 0.500 0.500 0.500
O 0.138 0.750 0.362
O 0.250 0.638 0.862
O 0.362 0.138 0.750
O 0.638 0.862 0.250
O 0.750 0.362 0.138
O 0.862 0.250 0.638

## Properties
**Total moment**: 0.00 μB per formula unit
**Symmetry**: R-3c, No. 167

No. 12
Here is a relaxed structure of Mg2Te2PtF2 from OQMD via LeMat-Bulk. Energies are from GGA-PBE.

a = 3.625 Å, b = 3.625 Å, c = 9.709 Å
α = 90.00°, β = 90.00°, γ = 90.00°
Fractional positions:
Mg 0.000 0.500 0.117
Mg 0.500 0.000 0.883
Te 0.000 0.500 0.695
Te 0.500 0.000 0.305
Pt 0.500 0.500 0.500
F 0.000 0.000 0.000
F 0.500 0.500 0.000

## Properties
**Total moment**: 0.01 μB per formula unit
**Symmetry**: P-4m2, No. 115

Calculated final energy, -37.38; -64.23; -104.01; -73.95; -31.87; -97.17; -50.52; -35.10; -62.45; -35.48; -60.96; -29.74 eV per cell (same order as the records).